(1)
First-principles (PBE) data for crystalline YCo2Au2 at its relaxed geometry, as listed in Alexandria via LeMat-Bulk.

a = 4.096 Å, b = 4.096 Å, c = 6.114 Å
α = 70.43°, β = 70.43°, γ = 90.00°
Positions (direct):
Co: 0.598 0.598 0.804
Au: 0.750 0.250 0.500
Co: 0.402 0.402 0.196
Au: 0.250 0.750 0.500
Y: 0.000 0.000 0.000

Computed properties:
Uncorrected energy ... -5.597 eV per atom
Excess energy over the best structure of this formula in the dataset ... 0.00 kcal/mol of atoms



(2)
First-principles (PBE) data for crystalline YCoAu at its relaxed geometry, as listed in Alexandria via LeMat-Bulk.

a = 4.341 Å, b = 4.341 Å, c = 3.676 Å
α = 90.00°, β = 90.00°, γ = 120.00°
Positions (direct):
Au: 0.000 0.000 0.166
Co: 0.667 0.333 0.167
Y: 0.333 0.667 0.667

Computed properties:
Uncorrected energy ... -5.960 eV per atom



(3)
First-principles (PBE) data for crystalline YCo3Au at its relaxed geometry, as listed in Alexandria via LeMat-Bulk.

a = 4.601 Å, b = 4.601 Å, c = 4.601 Å
α = 90.00°, β = 90.00°, γ = 90.00°
Positions (direct):
Co: 0.000 0.500 0.000
Co: 0.500 0.000 0.000
Y: 0.000 0.000 0.000
Co: 0.000 0.000 0.500
Au: 0.500 0.500 0.500

Computed properties:
Uncorrected energy ... -4.559 eV per atom
Excess energy over the best structure of this formula in the dataset ... 17.97 kcal/mol of atoms



(4)
First-principles (PBE) data for crystalline Y5Co2Au at its relaxed geometry, as listed in Alexandria via LeMat-Bulk.

a = 7.373 Å, b = 7.373 Å, c = 8.707 Å
α = 115.05°, β = 115.05°, γ = 90.00°
Positions (direct):
Au: 0.250 0.250 0.500
Y: 0.311 0.811 0.276
Y: 0.965 0.465 0.276
Co: 0.388 0.888 0.000
Y: 0.189 0.035 0.724
Y: 0.689 0.189 0.724
Y: 0.500 0.500 0.000
Co: 0.612 0.112 0.000
Au: 0.750 0.750 0.500
Y: 0.035 0.535 0.724
Co: 0.888 0.612 0.000
Y: 0.535 0.689 0.724
Co: 0.112 0.388 0.000
Y: 0.465 0.311 0.276
Y: 0.811 0.965 0.276
Y: 0.000 0.000 0.000

Computed properties:
Uncorrected energy ... -6.589 eV per atom



(5)
First-principles (PBE) data for crystalline Y4CoAu at its relaxed geometry, as listed in Alexandria via LeMat-Bulk.

a = 6.139 Å, b = 8.000 Å, c = 8.000 Å
α = 112.90°, β = 106.41°, γ = 106.41°
Positions (direct):
Y: 0.698 0.219 0.346
Y: 0.802 0.654 0.781
Y: 0.410 0.704 0.060
Au: 0.250 0.368 0.632
Y: 0.910 0.060 0.704
Y: 0.090 0.940 0.296
Au: 0.750 0.632 0.368
Y: 0.590 0.296 0.940
Y: 0.302 0.781 0.654
Co: 0.750 0.000 0.000
Y: 0.198 0.346 0.219
Co: 0.250 0.000 0.000

Computed properties:
Uncorrected energy ... -6.392 eV per atom
Excess energy over the best structure of this formula in the dataset ... 0.00 kcal/mol of atoms



(6)
First-principles (PBE) data for crystalline YCo4Au at its relaxed geometry, as listed in Alexandria via LeMat-Bulk.

a = 4.969 Å, b = 4.969 Å, c = 4.969 Å
α = 60.00°, β = 60.00°, γ = 60.00°
Positions (direct):
Co: 0.878 0.374 0.374
Co: 0.374 0.878 0.374
Co: 0.374 0.374 0.374
Co: 0.374 0.374 0.878
Au: 0.000 0.000 0.000
Y: 0.750 0.750 0.750

Computed properties:
Uncorrected energy ... -6.505 eV per atom